Entry 1:
! SnAs2Pd2 (PBE, optimized geometry); values from VASP
&SYSTEM
  ibrav = 0, nat = 10, ntyp = 3
/
ATOMIC_SPECIES
Sn 118.71 Sn.upf
As 74.92 As.upf
Pd 106.42 Pd.upf
ATOMIC_POSITIONS angstrom
Sn 1.189 -5.449 0.369
Sn 0.000 0.000 0.000
As 4.048 -6.002 -0.367
As 0.753 -8.377 0.872
As -1.669 -4.896 1.106
As 1.626 -2.521 -0.133
Pd 3.942 -3.464 0.916
Pd 3.425 -7.743 1.616
Pd -0.748 -7.060 2.707
Pd -0.230 -2.781 2.007
CELL_PARAMETERS angstrom
-4.059 -6.485 1.987
6.438 -4.413 -1.249
0.815 0.373 2.884
! Calculated density in Mg/m³: 8.5
! Energy above the lowest structure with this stoichiometry in meV/atom: 100
! DFT formation energy in eV per formula unit: -0.4



Entry 2:
! Sn3AsPd (PBE, optimized geometry); values from VASP
&SYSTEM
  ibrav = 0, nat = 5, ntyp = 3
/
ATOMIC_SPECIES
As 74.92 As.upf
Sn 118.71 Sn.upf
Pd 106.42 Pd.upf
ATOMIC_POSITIONS angstrom
As 0.000 0.000 0.000
Sn -2.483 -0.962 0.195
Sn 0.978 -2.384 0.701
Sn -0.078 0.724 2.569
Pd -1.583 -2.622 3.466
CELL_PARAMETERS angstrom
-4.967 -1.924 0.391
1.957 -4.767 1.402
-0.156 1.447 5.138
! Calculated density in Mg/m³: 5.9
! Energy above the lowest structure with this stoichiometry in meV/atom: 524
! DFT formation energy in eV per formula unit: 3.4



Entry 3:
! Sn3AsPd (PBE, optimized geometry); values from VASP
&SYSTEM
  ibrav = 0, nat = 5, ntyp = 3
/
ATOMIC_SPECIES
Sn 118.71 Sn.upf
Pd 106.42 Pd.upf
As 74.92 As.upf
ATOMIC_POSITIONS angstrom
Sn 0.000 0.000 2.586
Sn 0.000 2.586 0.000
Sn 2.586 0.000 0.000
Pd 0.000 0.000 0.000
As 2.586 2.586 2.586
CELL_PARAMETERS angstrom
5.172 0.000 0.000
0.000 5.172 0.000
0.000 0.000 5.172
! Calculated density in Mg/m³: 6.5
! Energy above the lowest structure with this stoichiometry in meV/atom: 0
! DFT formation energy in eV per formula unit: 0.8



Entry 4:
! SnAs2Pd (PBE, optimized geometry); values from VASP
&SYSTEM
  ibrav = 0, nat = 4, ntyp = 3
/
ATOMIC_SPECIES
As 74.92 As.upf
Sn 118.71 Sn.upf
Pd 106.42 Pd.upf
ATOMIC_POSITIONS angstrom
As 2.002 1.156 1.203
As 2.002 1.156 5.150
Sn 4.004 2.312 3.037
Pd 4.004 2.312 0.006
CELL_PARAMETERS angstrom
4.004 0.000 0.000
2.002 3.468 0.000
2.002 1.156 6.264
! Calculated density in Mg/m³: 7.2
! DFT formation energy in eV per formula unit: -0.4



Entry 5:
! SnAs2Pd2 (PBE, optimized geometry); values from VASP
&SYSTEM
  ibrav = 0, nat = 5, ntyp = 3
/
ATOMIC_SPECIES
Pd 106.42 Pd.upf
Sn 118.71 Sn.upf
As 74.92 As.upf
ATOMIC_POSITIONS angstrom
Pd -2.608 -3.921 -2.980
Pd -4.374 -3.427 -0.425
Sn 0.000 0.000 0.000
As -2.387 -2.047 -1.254
As -4.595 -5.300 -2.151
CELL_PARAMETERS angstrom
-4.330 -0.364 0.949
-0.798 -1.352 -4.162
-1.853 -5.632 -0.192
! Calculated density in Mg/m³: 8.0
! Energy above the lowest structure with this stoichiometry in meV/atom: 0
! DFT formation energy in eV per formula unit: -0.9



Entry 6:
! SnAsPd2 (PBE, optimized geometry); values from VASP
&SYSTEM
  ibrav = 0, nat = 4, ntyp = 3
/
ATOMIC_SPECIES
Pd 106.42 Pd.upf
Sn 118.71 Sn.upf
As 74.92 As.upf
ATOMIC_POSITIONS angstrom
Pd -0.365 -0.999 -2.023
Pd -2.112 -0.571 0.663
Sn -0.588 1.462 -0.616
As -3.065 -0.108 -1.976
CELL_PARAMETERS angstrom
-1.177 2.924 -1.231
-0.731 -1.998 -4.046
-4.224 -1.141 1.326
! Calculated density in Mg/m³: 9.5
! Energy above the lowest structure with this stoichiometry in meV/atom: 148
! DFT formation energy in eV per formula unit: -1.1



- Among the records above, which one has the lowest calculated density?
  number 2



- DFT formation energy of number 5 (SnAs2Pd2)?
  -0.9 eV per formula unit



- The highest DFT formation energy belongs to which entry?
  number 2



Copy entry 4 word for word.
! SnAs2Pd (PBE, optimized geometry); values from VASP
&SYSTEM
  ibrav = 0, nat = 4, ntyp = 3
/
ATOMIC_SPECIES
As 74.92 As.upf
Sn 118.71 Sn.upf
Pd 106.42 Pd.upf
ATOMIC_POSITIONS angstrom
As 2.002 1.156 1.203
As 2.002 1.156 5.150
Sn 4.004 2.312 3.037
Pd 4.004 2.312 0.006
CELL_PARAMETERS angstrom
4.004 0.000 0.000
2.002 3.468 0.000
2.002 1.156 6.264
! Calculated density in Mg/m³: 7.2
! DFT formation energy in eV per formula unit: -0.4